Computed, not measured: a PBEsol-optimized structure of PdSCl at the meta-GGA SCAN level of DFT.

The structure in POSCAR format:
```
PdSCl
1.0
8.7537 0.0000 0.0000
0.0000 9.1368 0.0000
-8.4507 0.0000 13.6440
Pd S Cl
16 16 16
direct
0.0361 0.1947 0.0181
0.0361 0.3053 0.5181
0.0792 0.0962 0.6843
0.0792 0.4038 0.1843
0.2806 0.0846 0.4757
0.2806 0.4154 0.9757
0.3265 0.6226 0.1432
0.3265 0.8774 0.6432
0.6735 0.1226 0.3568
0.6735 0.3774 0.8568
0.7194 0.5846 0.0243
0.7194 0.9154 0.5243
0.9208 0.5962 0.8157
0.9208 0.9038 0.3157
0.9639 0.6947 0.4819
0.9639 0.8053 0.9819
0.1207 0.7278 0.4079
0.1207 0.7722 0.9079
0.2700 0.2459 0.6697
0.2700 0.2541 0.1697
0.3552 0.6553 0.0123
0.3552 0.8447 0.5123
0.4290 0.1040 0.6411
0.4290 0.3960 0.1411
0.5710 0.6040 0.8589
0.5710 0.8960 0.3589
0.6448 0.1553 0.4877
0.6448 0.3447 0.9877
0.7300 0.7459 0.8303
0.7300 0.7541 0.3303
0.8793 0.2278 0.0921
0.8793 0.2722 0.5921
0.1404 0.0389 0.3071
0.1404 0.4611 0.8071
0.2206 0.1639 0.9539
0.2206 0.3361 0.4539
0.2236 0.6377 0.6319
0.2236 0.8623 0.1319
0.3099 0.5696 0.2813
0.3099 0.9304 0.7813
0.6901 0.0696 0.2187
0.6901 0.4304 0.7187
0.7764 0.1377 0.8681
0.7764 0.3623 0.3681
0.7794 0.6639 0.5461
0.7794 0.8361 0.0461
0.8596 0.5389 0.1929
0.8596 0.9611 0.6929
```

Values from the calculation:
Mass density: 4.23 g cm⁻³
Space-group type: P2_1/c, No. 14
Raw formation energy: -0.491 eV per atom
Volume: 22.73 Å³ per atom